1.
Density functional theory data (PBE-GGA) for a relaxed Na2LaMoC crystal.

DFT formation energy: 81.13 kJ/mol of atoms
DFT total energy: -4.68 eV/atom

a = 4.9062 Å, b = 4.9062 Å, c = 4.2989 Å
α = 90.00°, β = 90.00°, γ = 90.00°
Space group P4/mmm (No. 123)
Symmetry-distinct sites (fractional):
Na  0.0000  0.5000  0.0000 x2
La  0.0000  0.0000  0.5000 x1
Mo  0.5000  0.5000  0.5000 x1
C  0.5000  0.5000  0.0000 x1



2.
Density functional theory data (PBE-GGA) for a relaxed LaPa2MoC4 crystal.

DFT formation energy: -13.53 kJ/mol of atoms
DFT total energy: -9.10 eV/atom

a = 3.6220 Å, b = 12.2005 Å, c = 12.3159 Å
α = 90.00°, β = 90.00°, γ = 90.00°
Space group Cmcm (No. 63)
Symmetry-distinct sites (fractional):
La  0.0000  0.1004  0.2500 x4
Pa  0.0000  0.3695  0.0437 x8
Mo  0.0000  0.1626  0.7500 x4
C  0.0000  0.0000  0.0000 x4
C  0.0000  0.2568  0.6186 x8
C  0.0000  0.4213  0.2500 x4



3.
Density functional theory data (PBE-GGA) for a relaxed LaPaMoC3 crystal.

DFT formation energy: -0.96 kJ/mol of atoms
DFT total energy: -8.83 eV/atom

a = 7.5899 Å, b = 3.7148 Å, c = 7.9889 Å
α = 90.00°, β = 97.46°, γ = 90.00°
Space group P2_1/m (No. 11)
Symmetry-distinct sites (fractional):
La  0.1684  0.2500  0.1767 x2
Pa  0.3689  0.7500  0.8359 x2
Mo  0.1017  0.2500  0.5968 x2
C  0.1320  0.2500  0.8448 x2
C  0.1655  0.7500  0.5149 x2
C  0.4231  0.7500  0.1236 x2



4.
Density functional theory data (PBE-GGA) for a relaxed LaReMoC2 crystal.

DFT formation energy: 109.48 kJ/mol of atoms
DFT total energy: -8.20 eV/atom

a = 4.1071 Å, b = 4.1071 Å, c = 5.0177 Å
α = 90.00°, β = 90.00°, γ = 90.00°
Space group P4/mmm (No. 123)
Symmetry-distinct sites (fractional):
La  0.0000  0.0000  0.0000 x1
Re  0.5000  0.5000  0.5000 x1
Mo  0.5000  0.5000  0.0000 x1
C  0.0000  0.5000  0.5000 x2



no.,calculated volume (A^3/atom)
1,20.70
2,17.01
3,18.61
4,16.93